The following is a DFT calculation (PBE-GGA) of a geometry-optimized Ca2PIr structure.

For the density of states at the Fermi level, the calculation gives 8.2 states/eV/cell. The calculated formation energy is -9.9 kJ per mole of atoms. The calculation puts the mass density at 5.90 g cm⁻³. The calculation puts the total DFT energy (no corrections) at -74.74 eV per cell.

It has space group I-42d (No. 122), with a = 7.741 Å, b = 7.741 Å, c = 5.695 Å, α = 90.00°, β = 90.00° and γ = 90.00°. The asymmetric unit holds Ca at (0.246, 0.250, 0.125), P at (0.000, 0.000, 0.500) and Ir at (0.000, 0.000, 0.000).


The following is a DFT calculation (PBE-GGA) of a geometry-optimized Ni2Pt2Au structure.

For the density of states at the Fermi level, the calculation gives 9.3 states/eV/cell. The calculated formation energy is 22.2 kJ per mole of atoms. The calculation puts the mass density at 15.04 g cm⁻³. The calculation puts the total DFT energy (no corrections) at -51.54 eV per cell.

It has space group I4/mmm (No. 139), with a = 3.505 Å, b = 3.505 Å, c = 12.658 Å, α = 90.00°, β = 90.00° and γ = 90.00°. The asymmetric unit holds Ni at (0.000, 0.500, 0.250), Pt at (0.000, 0.000, 0.108) and Au at (0.000, 0.000, 0.500).


The following is a DFT calculation (PBE-GGA) of a geometry-optimized Co2As2Ir structure.

For the density of states at the Fermi level, the calculation gives 11.9 states/eV/cell. The calculated formation energy is 41.5 kJ per mole of atoms. The calculation puts the mass density at 10.75 g cm⁻³. The calculation puts the total DFT energy (no corrections) at -60.44 eV per cell.

It has space group I4/mmm (No. 139), with a = 3.695 Å, b = 3.695 Å, c = 10.408 Å, α = 90.00°, β = 90.00° and γ = 90.00°. The asymmetric unit holds Co at (0.000, 0.000, 0.110), As at (0.000, 0.500, 0.250) and Ir at (0.000, 0.000, 0.500).


The following is a DFT calculation (PBE-GGA) of a geometry-optimized AlZnGa2B structure.

For the density of states at the Fermi level, the calculation gives 2.3 states/eV/cell. The calculated formation energy is 77.6 kJ per mole of atoms. The calculation puts the mass density at 4.16 g cm⁻³. The calculation puts the total DFT energy (no corrections) at -13.73 eV per cell.

It has space group P4/mmm (No. 123), with a = 5.025 Å, b = 5.025 Å, c = 3.840 Å, α = 90.00°, β = 90.00° and γ = 90.00°. The asymmetric unit holds Al at (0.000, 0.000, 0.000), Zn at (0.500, 0.500, 0.500), Ga at (0.000, 0.500, 0.500) and B at (0.500, 0.500, 0.000).


The following is a DFT calculation (PBE-GGA) of a geometry-optimized TbHoErSc structure.

For the density of states at the Fermi level, the calculation gives 31.1 states/eV/cell. The calculated formation energy is 12.0 kJ per mole of atoms. The calculation puts the mass density at 7.50 g cm⁻³. The calculation puts the total DFT energy (no corrections) at -78.42 eV per cell.

It has space group F-43m (No. 216), with a = 7.801 Å, b = 7.801 Å, c = 7.801 Å, α = 90.00°, β = 90.00° and γ = 90.00°. The asymmetric unit holds Tb at (0.000, 0.000, 0.000), Ho at (0.000, 0.000, 0.500), Er at (0.250, 0.250, 0.750) and Sc at (0.250, 0.250, 0.250).


The following is a DFT calculation (PBE-GGA) of a geometry-optimized Zn2PIr structure.

For the density of states at the Fermi level, the calculation gives 5.0 states/eV/cell. The calculated formation energy is -5.5 kJ per mole of atoms. The calculation puts the mass density at 9.30 g cm⁻³. The calculation puts the total DFT energy (no corrections) at -51.14 eV per cell.

It has space group R3m (No. 160, hexagonal axes), with a = 3.0517 Å, b = 3.0517 Å, c = 23.5207 Å, α = 90.00°, β = 90.00° and γ = 120.00°. The asymmetric unit holds Zn at (0.0000, 0.0000, 0.0000), Zn at (0.0000, 0.0000, 0.2432), P at (0.0000, 0.0000, 0.4858) and Ir at (0.0000, 0.0000, 0.7544).


The following is a DFT calculation (PBE-GGA) of a geometry-optimized YAl3F structure.

The raw formation energy comes out at -3.25 eV per formula unit. For the density of states at the Fermi level, the calculation gives 2.0 states/eV/cell. The calculation puts the mass density at 3.41 g cm⁻³. The calculation puts the total DFT energy (no corrections) at -22.81 eV per cell.

It has space group Pm-3m (No. 221), with a = 4.514 Å, b = 4.514 Å, c = 4.514 Å, α = 90.00°, β = 90.00° and γ = 90.00°. The asymmetric unit holds Y at (0.000, 0.000, 0.000), Al at (0.000, 0.500, 0.500) and F at (0.500, 0.500, 0.500).


The following is a DFT calculation (PBE-GGA) of a geometry-optimized Rb2ZnO structure.

The raw formation energy comes out at -1.46 eV per formula unit. For the density of states at the Fermi level, the calculation gives 0.0 states/eV/cell. The calculation puts the mass density at 3.00 g cm⁻³. The calculation puts the total DFT energy (no corrections) at -38.52 eV per cell.

It has space group I-42d (No. 122), with a = 8.634 Å, b = 8.634 Å, c = 7.484 Å, α = 90.00°, β = 90.00° and γ = 90.00°. The asymmetric unit holds Rb at (0.147, 0.750, 0.125), Zn at (0.000, 0.000, 0.500) and O at (0.000, 0.000, 0.000).


The following is a DFT calculation (PBE-GGA) of a geometry-optimized Al2CdGaPd structure.

For the density of states at the Fermi level, the calculation gives 1.6 states/eV/cell. The calculated formation energy is -2.6 kJ per mole of atoms. The calculation puts the mass density at 5.07 g cm⁻³. The calculation puts the total DFT energy (no corrections) at -16.76 eV per cell.

It has space group P4/mmm (No. 123), with a = 4.816 Å, b = 4.816 Å, c = 4.842 Å, α = 90.00°, β = 90.00° and γ = 90.00°. The asymmetric unit holds Al at (0.000, 0.500, 0.000), Cd at (0.000, 0.000, 0.500), Ga at (0.500, 0.500, 0.500) and Pd at (0.500, 0.500, 0.000).


The following is a DFT calculation (PBE-GGA) of a geometry-optimized LiNpCoIr structure.

For the density of states at the Fermi level, the calculation gives 23.4 states/eV/cell. The calculated formation energy is -6.3 kJ per mole of atoms. The calculation puts the mass density at 12.89 g cm⁻³. The calculation puts the total DFT energy (no corrections) at -124.33 eV per cell.

It has space group F-43m (No. 216), with a = 6.343 Å, b = 6.343 Å, c = 6.343 Å, α = 90.00°, β = 90.00° and γ = 90.00°. The asymmetric unit holds Li at (0.000, 0.000, 0.000), Np at (0.000, 0.000, 0.500), Co at (0.250, 0.250, 0.250) and Ir at (0.250, 0.250, 0.750).


The following is a DFT calculation (PBE-GGA) of a geometry-optimized Sm3AgH structure.

For the density of states at the Fermi level, the calculation gives 7.1 states/eV/cell. The calculation puts the mass density at 7.87 g cm⁻³. The calculation puts the total DFT energy (no corrections) at -21.06 eV per cell.

It has space group Pm-3m (No. 221), with a = 4.908 Å, b = 4.908 Å, c = 4.908 Å, α = 90.00°, β = 90.00° and γ = 90.00°. The asymmetric unit holds Sm at (0.000, 0.000, 0.500), Ag at (0.500, 0.500, 0.500) and H at (0.000, 0.000, 0.000).


The following is a DFT calculation (PBE-GGA) of a geometry-optimized AcLa2P structure.

For the density of states at the Fermi level, the calculation gives 13.8 states/eV/cell. The calculated formation energy is -59.2 kJ per mole of atoms. The calculation puts the mass density at 5.89 g cm⁻³. The calculation puts the total DFT energy (no corrections) at -65.48 eV per cell.

It has space group R-3m (No. 166, hexagonal axes), with a = 4.0111 Å, b = 4.0111 Å, c = 32.5333 Å, α = 90.00°, β = 90.00° and γ = 120.00°. The asymmetric unit holds Ac at (0.0000, 0.0000, 0.0000), La at (0.0000, 0.0000, 0.1150) and P at (0.0000, 0.0000, 0.5000).